# 1
Density functional theory data (PBE) for a relaxed structure of Gd3Tl2Sn4Pb.

a = 4.6943 Å, b = 24.4365 Å, c = 4.7447 Å
α = 90.00°, β = 90.00°, γ = 90.00°
Space group Cmmm (No. 65)
Asymmetric unit:
Gd 0.0000 0.0000 0.0000
Gd 0.0000 0.1882 0.0000
Tl 0.0000 0.2944 0.5000
Sn 0.0000 0.0997 0.5000
Sn 0.0000 0.4017 0.0000
Pb 0.0000 0.5000 0.5000

# 2
Density functional theory data (PBE) for a relaxed structure of Gd3Tl2Sn3Pb2.

a = 4.5374 Å, b = 25.8979 Å, c = 4.6891 Å
α = 90.00°, β = 90.00°, γ = 90.00°
Space group Cmmm (No. 65)
Asymmetric unit:
Gd 0.0000 0.0000 0.0000
Gd 0.0000 0.1906 0.0000
Tl 0.0000 0.0994 0.5000
Sn 0.0000 0.2908 0.5000
Sn 0.0000 0.5000 0.5000
Pb 0.0000 0.4037 0.0000

# 3
Density functional theory data (PBE) for a relaxed structure of Gd3TlSn2Pb4.

a = 4.7210 Å, b = 25.3891 Å, c = 4.6805 Å
α = 90.00°, β = 90.00°, γ = 90.00°
Space group Cmmm (No. 65)
Asymmetric unit:
Gd 0.0000 0.0000 0.0000
Gd 0.0000 0.1863 0.0000
Tl 0.0000 0.5000 0.5000
Sn 0.0000 0.0965 0.5000
Pb 0.0000 0.2943 0.5000
Pb 0.0000 0.4040 0.0000

# 4
Density functional theory data (PBE) for a relaxed structure of Gd3Tl3Sn2Pb2.

a = 4.7538 Å, b = 24.3252 Å, c = 4.7644 Å
α = 90.00°, β = 90.00°, γ = 90.00°
Space group Cmmm (No. 65)
Asymmetric unit:
Gd 0.0000 0.0000 0.0000
Gd 0.0000 0.1898 0.0000
Tl 0.0000 0.2943 0.5000
Tl 0.0000 0.5000 0.5000
Sn 0.0000 0.0993 0.5000
Pb 0.0000 0.4018 0.0000

# 5
Density functional theory data (PBE) for a relaxed structure of Gd3Tl3Sn2Pb2.

a = 4.7293 Å, b = 25.4631 Å, c = 4.5855 Å
α = 90.00°, β = 90.00°, γ = 90.00°
Space group Cmmm (No. 65)
Asymmetric unit:
Gd 0.0000 0.0000 0.0000
Gd 0.0000 0.1853 0.0000
Tl 0.0000 0.4038 0.0000
Tl 0.0000 0.5000 0.5000
Sn 0.0000 0.0947 0.5000
Pb 0.0000 0.2945 0.5000

# 6
Density functional theory data (PBE) for a relaxed structure of Gd3Tl2Sn3Pb2.

a = 4.5935 Å, b = 25.5609 Å, c = 4.6964 Å
α = 90.00°, β = 90.00°, γ = 90.00°
Space group Cmmm (No. 65)
Asymmetric unit:
Gd 0.0000 0.0000 0.0000
Gd 0.0000 0.1860 0.0000
Tl 0.0000 0.0972 0.5000
Sn 0.0000 0.4059 0.0000
Sn 0.0000 0.5000 0.5000
Pb 0.0000 0.2940 0.5000

# 7
Density functional theory data (PBE) for a relaxed structure of Gd3Tl2Sn3Pb2.

a = 4.6913 Å, b = 25.4183 Å, c = 4.6217 Å
α = 90.00°, β = 90.00°, γ = 90.00°
Space group Cmmm (No. 65)
Asymmetric unit:
Gd 0.0000 0.0000 0.0000
Gd 0.0000 0.1856 0.0000
Tl 0.0000 0.4034 0.0000
Sn 0.0000 0.0946 0.5000
Sn 0.0000 0.5000 0.5000
Pb 0.0000 0.2943 0.5000

# 8
Density functional theory data (PBE) for a relaxed structure of Gd3TlSn2Pb4.

a = 4.6472 Å, b = 25.6371 Å, c = 4.7154 Å
α = 90.00°, β = 90.00°, γ = 90.00°
Space group Cmmm (No. 65)
Asymmetric unit:
Gd 0.0000 0.0000 0.0000
Gd 0.0000 0.1905 0.0000
Tl 0.0000 0.5000 0.5000
Sn 0.0000 0.2913 0.5000
Pb 0.0000 0.0982 0.5000
Pb 0.0000 0.4031 0.0000

no.,energy above the most stable polymorph in this dataset (meV per atom)
1,50
2,0
3,7
4,42
5,8
6,10
7,9
8,0